The following is a GGA-PBE calculation of a relaxed structure of Pm12Y6Er, from Alexandria.

Geometry as CIF:
```
data_Pm12Y6Er
_chemical_formula_sum 'Pm12 Y6 Er1'
_cell_length_a 8.7902
_cell_length_b 8.7902
_cell_length_c 8.7902
_cell_angle_alpha 97.77
_cell_angle_beta 97.77
_cell_angle_gamma 97.77
_space_group_name_H-M_alt 'P 1'
_space_group_IT_number 1
_space_group_name_Hall 'P 1'
loop_
_atom_site_label
_atom_site_fract_x
_atom_site_fract_y
_atom_site_fract_z
Pm1 0.0000 0.2624 0.7376
Pm2 0.0000 0.7376 0.2624
Pm3 0.1673 0.5862 0.5862
Pm4 0.2624 0.0000 0.7376
Pm5 0.2624 0.7376 0.0000
Pm6 0.4138 0.4138 0.8327
Pm7 0.4138 0.8327 0.4138
Pm8 0.5862 0.1673 0.5862
Pm9 0.5862 0.5862 0.1673
Pm10 0.7376 0.0000 0.2624
Pm11 0.7376 0.2624 0.0000
Pm12 0.8327 0.4138 0.4138
Y1 0.1397 0.1397 0.4078
Y2 0.1397 0.4078 0.1397
Y3 0.4078 0.1397 0.1397
Y4 0.5922 0.8603 0.8603
Y5 0.8603 0.5922 0.8603
Y6 0.8603 0.8603 0.5922
Er1 0.0000 0.0000 0.0000
```

Results
As for the energy relative to the elements: 0.12 eV/atom. The value obtained for the energy above the most stable polymorph in this dataset is 0.0 kJ per mole of atoms. The total energy is -98.1 eV/f.u. The calculation puts the density of states at the Fermi level at 25.76 states/eV/cell. The magnetization is 0.000 μB per atom. As for the symmetry: R-3m (166).